Ga3AgS (GGA-PBE, relaxed); E_form (uncorrected) = 0.2603 eV/atom; crystal system = cubic
1.0
-0.290 2.874 3.985
-4.205 1.919 -1.690
-2.541 -3.504 2.342
S Ga Ag
1 3 1
direct
0.500 0.500 0.500
0.000 0.000 0.500
0.500 0.000 0.000
0.000 0.500 0.000
0.000 0.000 0.000


MnPtAu2 (GGA-PBE, relaxed); crystal system = orthorhombic; energy of formation = -17 kJ/mol of formula units
1.0
-3.711 2.860 0.989
0.320 -3.321 3.435
1.856 1.850 1.616
Pt Au Mn
1 2 1
direct
0.000 0.500 0.500
0.000 0.000 0.000
0.500 0.500 0.000
0.500 0.000 0.500


K2BaPaTe4 (GGA-PBE, relaxed); E_form (uncorrected) = -1.2016 eV/atom; crystal system = monoclinic
1.0
-4.490 0.350 1.497
-1.788 -7.387 -3.633
2.585 -1.521 8.108
K Te Ba Pa
2 4 1 1
direct
0.000 0.500 0.500
0.500 0.000 0.500
0.000 0.775 0.220
0.000 0.225 0.780
0.500 0.211 0.211
0.500 0.789 0.789
0.500 0.500 0.000
0.000 0.000 0.000


YNbAs (GGA-PBE, relaxed); crystal system = tetragonal; energy of formation = -259 kJ/mol of formula units
1.0
5.644 0.000 0.000
0.000 7.806 0.189
0.000 -0.136 5.642
Nb Y As
4 4 4
direct
0.750 0.000 0.000
0.750 0.000 0.500
0.250 0.000 0.500
0.250 0.000 0.000
0.500 0.641 0.750
0.000 0.359 0.750
0.500 0.359 0.250
0.000 0.641 0.250
0.500 0.248 0.750
0.500 0.752 0.250
0.000 0.248 0.250
0.000 0.752 0.750